## La3Sc5 (SCAN)

Data for a crystal of La3Sc5 relaxed with PBEsol.

Cell lengths 8.9480, 9.8494, 4.9165 Å; angles 90.00, 90.00, 90.00 degrees
Closest atoms and distances in Å follow each position.
Space group Cmmm (No. 65)
Asymmetric unit:
La 0.0000 0.0000 0.0000 (multiplicity 2)  8 Sc 3.33-3.34, 4 La 3.54
La 0.0000 0.2591 0.5000 (multiplicity 4)  10 Sc 3.25-3.42, 2 La 3.54
Sc 0.0000 0.5000 0.0000 (multiplicity 2)  8 Sc 3.31-3.33, 4 La 3.42
Sc 0.2481 0.5000 0.5000 (multiplicity 4)  6 La 3.25-3.40, 6 Sc 3.31-3.48
Sc 0.2500 0.2500 0.0000 (multiplicity 4)  6 La 3.32-3.33, 6 Sc 3.33-3.48

Properties
Energy of formation, eV per formula unit: 0.677
Total magnetization, μB/f.u.: 0.00

---

## LaSc3 (SCAN)

Data for a crystal of LaSc3 relaxed with PBEsol.

Cell lengths 3.4100, 5.3214, 5.7228 Å; angles 90.00, 90.00, 90.00 degrees
Closest atoms and distances in Å follow each position.
Space group Pmm2 (No. 25)
Asymmetric unit:
La 0.0000 0.0000 0.0000 (multiplicity 1)  10 Sc 3.29-3.37, 2 La 3.41
Sc 0.0000 0.5000 0.3501 (multiplicity 1)  10 Sc 3.28-3.41, 2 La 3.33
Sc 0.5000 0.0000 0.5071 (multiplicity 1)  8 Sc 3.27-3.41, 4 La 3.30-3.37
Sc 0.5000 0.5000 0.8405 (multiplicity 1)  8 Sc 3.27-3.41, 4 La 3.29

Properties
Energy of formation, eV per formula unit: 0.354
Total magnetization, μB/f.u.: 0.77

---

## LaSc (SCAN)

Data for a crystal of LaSc relaxed with PBEsol.

Cell lengths 3.7374, 5.5414, 11.1015 Å; angles 90.00, 90.00, 90.00 degrees
Closest atoms and distances in Å follow each position.
Space group Imma (No. 74)
Asymmetric unit:
La 0.0000 0.2500 0.1151 (multiplicity 4)  6 Sc 3.35-3.38, 4 La 3.53-3.74
Sc 0.0000 0.2500 0.6380 (multiplicity 4)  2 Sc 3.11, 6 La 3.35-3.38

Properties
Energy of formation, eV per formula unit: 0.184
Total magnetization, μB/f.u.: 0.00

---

## LaSc (SCAN)

Data for a crystal of LaSc relaxed with PBEsol.

Cell lengths 4.8000, 4.8000, 9.8533 Å; angles 90.00, 90.00, 90.00 degrees
Closest atoms and distances in Å follow each position.
Space group I4_1/amd (No. 141, origin choice 2)
Asymmetric unit:
La 0.0000 0.2500 0.3750 (multiplicity 4)  8 Sc 3.39-3.44, 4 La 3.44
Sc 0.0000 0.2500 0.8750 (multiplicity 4)  8 La 3.39-3.44, 4 Sc 3.44

Properties
Energy of formation, eV per formula unit: 0.219
Total magnetization, μB/f.u.: 0.01

---

## LaSc (SCAN)

Data for a crystal of LaSc relaxed with PBEsol.

Cell lengths 10.5062, 6.0013, 6.5291 Å; angles 90.00, 123.10, 90.00 degrees
Closest atoms and distances in Å follow each position.
Space group C2 (No. 5)
Asymmetric unit:
La 0.0000 0.0000 0.0000 (multiplicity 2)  4 La 3.39-3.47, 8 Sc 3.43-3.57
La 0.1523 0.6540 0.4883 (multiplicity 4)  5 La 3.29-3.59, 7 Sc 3.32-3.61
Sc 0.0000 0.1730 0.5000 (multiplicity 2)  8 La 3.32-3.61, 4 Sc 3.33-3.38
Sc 0.1772 0.4876 0.0119 (multiplicity 4)  5 Sc 3.33-3.64, 7 La 3.36-3.57

Properties
Energy of formation, eV per formula unit: 0.168
Total magnetization, μB/f.u.: 0.00

---

## LaSc3 (SCAN)

Data for a crystal of LaSc3 relaxed with PBEsol.

Cell lengths 3.7603, 3.7603, 7.4208 Å; angles 90.00, 90.00, 90.00 degrees
Closest atoms and distances in Å follow each position.
Space group P4/mmm (No. 123)
Asymmetric unit:
La 0.0000 0.0000 0.0000 (multiplicity 1)  10 Sc 3.37-3.71, 4 La 3.76
Sc 0.0000 0.0000 0.5000 (multiplicity 1)  8 Sc 3.12
Sc 0.5000 0.5000 0.2791 (multiplicity 2)  5 Sc 3.12-3.28, 4 La 3.37

Properties
Energy of formation, eV per formula unit: 0.330
Total magnetization, μB/f.u.: 0.06

---

Q: Look up the total magnetization of the second one.
A: 0.77 μB/f.u.